Here is a geometry-optimized Li3Pr3PuS8 structure from Alexandria. Energies are from GGA-PBE.

Computed properties:
raw total energy	-277.6	eV/cell
E_form (uncorrected)	-161.5	kJ/mol of atoms
spin magnetization	0.27	μB per atom

Unit cell a=8.1966 b=8.1966 c=18.4650 alpha=90.00 beta=90.00 gamma=120.00
Space group R-3m (No. 166, hexagonal axes)
Asymmetric unit:
Li: 0.0000 0.5000 0.0000 x9
Pr: 0.0000 0.5000 0.5000 x9
Pu: 0.0000 0.0000 0.5000 x3
S: 0.0000 0.0000 0.2523 x6
S: 0.0200 0.5100 0.2486 x18